(1)
Here is a relaxed structure of CsPaW2S8 from Alexandria via LeMat-Bulk. Energies are from PBE-GGA.

Output
Electronic total energy = -6.56 eV per atom
N(E_F) = 18.4 states/eV per cell

Cell: 6.5170 6.5170 29.2165 Å, 90.00 90.00 120.00°
With the nearest neighbours (Å) after each atom.
Space group R-3 (No. 148, hexagonal axes)
Asymmetric unit:
Cs  0.0000  0.0000  0.0000  12 S 3.79-3.91
Pa  0.0000  0.0000  0.5000  6 S 2.72
W  0.0000  0.0000  0.2439  4 S 2.16-2.25
S  0.0000  0.0000  0.3180  1 W 2.16
S  0.0012  0.6697  0.7781  1 W 2.25



(2)
Here is a relaxed structure of Cs2Y2PaS6 from Alexandria via LeMat-Bulk. Energies are from PBE-GGA.

Output
Electronic total energy = -6.26 eV per atom
N(E_F) = 4.7 states/eV per cell

Cell: 7.0277 12.1570 8.6061 Å, 90.00 106.17 90.00°
With the nearest neighbours (Å) after each atom.
Space group C2/m (No. 12)
Asymmetric unit:
Cs  0.0000  0.1685  0.0000  6 S 3.54-3.55
Y  0.0000  0.3336  0.5000  6 S 2.77-2.78
Pa  0.0000  0.0000  0.5000  6 S 2.73-2.74
S  0.2244  0.1650  0.6775  1 Pa 2.74, 2 Y 2.77-2.78
S  0.2324  0.5000  0.6773  1 Pa 2.73, 2 Y 2.78



(3)
Here is a relaxed structure of Cs4YPa3S12 from Alexandria via LeMat-Bulk. Energies are from PBE-GGA.

Output
Electronic total energy = -5.89 eV per atom
N(E_F) = 20.0 states/eV per cell

Cell: 10.6669 10.6669 10.6669 Å, 90.00 90.00 90.00°
With the nearest neighbours (Å) after each atom.
Space group Im-3m (No. 229)
Asymmetric unit:
Cs  0.2500  0.2500  0.2500  12 S 3.77
Y  0.0000  0.0000  0.0000  6 S 2.74
Pa  0.0000  0.0000  0.5000  6 S 2.59-2.67
S  0.0000  0.0000  0.2573  1 Pa 2.59, 1 Y 2.74
S  0.0000  0.2500  0.5000  2 Pa 2.67



(4)
Here is a relaxed structure of Cs4Y3PaS8 from Alexandria via LeMat-Bulk. Energies are from PBE-GGA.

Output
Electronic total energy = -5.80 eV per atom
N(E_F) = 29.8 states/eV per cell

Cell: 8.2195 8.2195 24.2536 Å, 90.00 90.00 120.00°
With the nearest neighbours (Å) after each atom.
Space group R-3m (No. 166, hexagonal axes)
Asymmetric unit:
Cs  0.0000  0.0000  0.0000  6 S 3.51
Cs  0.0000  0.5000  0.0000  6 S 3.49-3.50
Y  0.0000  0.5000  0.5000  6 S 2.79-2.80
Pa  0.0000  0.0000  0.5000  6 S 2.78
S  0.0000  0.0000  0.2273  3 Y 2.79
S  0.0021  0.5011  0.2275  1 Pa 2.78, 2 Y 2.80